This record from the Alexandria database describes a relaxed structure of La3Ge5. The functional is PBEsol.

a = 6.0091 Å, b = 17.9875 Å, c = 14.2149 Å
α = 90.00°, β = 90.00°, γ = 90.00°
Closest atoms and distances in Å follow each position.
Space group Fdd2 (No. 43)
Symmetry-distinct sites (fractional):
La (0.0000, 0.0000, 0.0000) (multiplicity 8)  10 Ge 3.12-3.40
La (0.0022, 0.3312, 0.0055) (multiplicity 16)  10 Ge 3.09-3.44
Ge (0.0000, 0.0000, 0.4397) (multiplicity 8)  2 Ge 2.56
Ge (0.0187, 0.3375, 0.5869) (multiplicity 16)  3 Ge 2.52-2.60
Ge (0.0259, 0.1752, 0.9116) (multiplicity 16)  2 Ge 2.52-2.60

Values from the calculation:
size of the total moment = 0.0000 μB/atom
formation energy from the elements = -6.50 eV/f.u.


This record from the Alexandria database describes a relaxed structure of TaBe3. The functional is PBEsol.

a = 8.1097 Å, b = 8.1097 Å, c = 2.4373 Å
α = 90.00°, β = 90.00°, γ = 120.00°
Closest atoms and distances in Å follow each position.
Space group R-3m (No. 166, hexagonal axes)
Symmetry-distinct sites (fractional):
Ta (0.0000, 0.0000, 0.0000) (multiplicity 3)  2 Ta 2.44, 6 Be 2.48
Be (0.0000, 0.5000, 0.0000) (multiplicity 9)  6 Be 2.44-2.48, 2 Ta 2.48

Values from the calculation:
size of the total moment = 0.0000 μB/atom
formation energy from the elements = 0.95 eV/f.u.